DFT (PBE+U) results for a relaxed TaMoF2 crystal.

abc: 8.441 8.441 8.441
angles: 20.34 20.34 20.34
Positions (direct):
Mo (0.500, 0.500, 0.500)
F (0.082, 0.082, 0.082)
F (0.918, 0.918, 0.918)
Ta (0.000, 0.000, 0.000)

Computed properties:
As for the total DFT energy (no corrections): -6.35 eV/atom.